[1]
# Sr2CuMo

A relaxed Sr2CuMo crystal (GGA-PBE, Alexandria).

The structure in POSCAR format:
```
Sr2CuMo
1.0
-3.385 2.273 -1.070
1.212 -0.394 -4.671
-2.546 -5.082 -2.744
Cu Sr Mo
1 2 1
Cartesian
-0.459 -2.841 -4.584 Cu
-2.249 -0.721 -2.719 Sr
-1.162 -5.067 -7.092 Sr
-2.851 -2.790 -5.212 Mo
```

Calculated formation energy = 0.61 eV per atom
Crystal system = orthorhombic
Magnetic moment = 2.371 μB/f.u.
D(E_F) = 4.08 states/eV/f.u.
Electronic total energy = -3.959 eV/atom

[2]
# SrTcN2O

A relaxed SrTcN2O crystal (GGA-PBE, Alexandria).

The structure in POSCAR format:
```
SrTcN2O
1.0
3.914 0.000 0.000
0.000 3.914 0.000
0.000 0.000 4.101
N O Tc Sr
2 1 1 1
Cartesian
0.000 1.957 0.000 N
1.957 0.000 0.000 N
0.000 0.000 2.051 O
0.000 0.000 0.000 Tc
1.957 1.957 2.051 Sr
```

Crystal system = tetragonal
Magnetic moment = 0.000 μB/f.u.
D(E_F) = 3.32 states/eV/f.u.
Electronic total energy = -7.561 eV/atom

[3]
# CsHAu

A relaxed CsHAu crystal (GGA-PBE, Alexandria).

The structure in POSCAR format:
```
CsHAu
1.0
5.040 0.000 0.000
0.000 5.040 0.000
-2.520 -2.520 4.247
H Cs Au
1 1 1
Cartesian
2.520 2.520 0.526 H
2.520 2.520 3.588 Cs
0.000 0.000 3.107 Au
```

Crystal system = tetragonal
Magnetic moment = 0.640 μB/f.u.
D(E_F) = 1.69 states/eV/f.u.
Electronic total energy = -2.392 eV/atom

[4]
# KB2W

A relaxed KB2W crystal (GGA-PBE, Alexandria).

The structure in POSCAR format:
```
KB2W
1.0
0.000 3.028 3.028
3.028 0.000 3.028
3.028 3.028 0.000
W K B
1 1 2
Cartesian
3.028 3.028 3.028 W
0.000 0.000 0.000 K
4.543 4.543 4.543 B
1.514 1.514 1.514 B
```

Calculated formation energy = 2.09 eV per atom
Crystal system = cubic
Magnetic moment = 0.000 μB/f.u.
D(E_F) = 5.06 states/eV/f.u.
Electronic total energy = -4.763 eV/atom

[5]
# Er3Al5Co

A relaxed Er3Al5Co crystal (GGA-PBE, Alexandria).

The structure in POSCAR format:
```
Er3Al5Co
1.0
4.298 0.000 0.000
0.000 5.978 -3.451
0.000 0.000 6.902
Al Co Er
5 1 3
Cartesian
2.149 4.621 -2.668 Al
2.149 1.357 0.783 Al
2.149 1.993 3.451 Al
2.149 3.985 0.000 Al
2.149 0.000 5.336 Al
0.000 0.000 0.000 Co
0.000 2.393 -1.382 Er
0.000 0.000 2.763 Er
0.000 3.584 2.069 Er
```

Calculated formation energy = -0.51 eV per atom
Crystal system = hexagonal
Magnetic moment = 0.000 μB/f.u.
D(E_F) = 3.77 states/eV/f.u.
Electronic total energy = -4.901 eV/atom

[6]
# Sr8P5Cl

A relaxed Sr8P5Cl crystal (GGA-PBE, Alexandria).

The structure in POSCAR format:
```
Sr8P5Cl
1.0
7.627 0.000 -2.655
-3.790 6.596 -2.710
-0.047 0.000 8.076
P Sr Cl
5 8 1
Cartesian
-1.349 2.512 -0.037 P
3.286 5.842 -2.671 P
2.325 0.754 6.683 P
3.790 0.000 2.710 P
3.319 4.084 1.446 P
-1.979 5.012 1.619 Sr
1.413 5.904 2.992 Sr
1.465 4.129 -0.900 Sr
-1.948 4.984 -2.244 Sr
7.079 0.692 3.080 Sr
3.412 2.468 4.388 Sr
1.037 1.612 1.592 Sr
4.682 1.585 0.314 Sr
-0.023 3.298 4.038 Cl
```

Crystal system = tetragonal
Magnetic moment = 0.000 μB/f.u.
D(E_F) = 0.00 states/eV/f.u.
Electronic total energy = -4.268 eV/atom

[7]
# KCuSn3

A relaxed KCuSn3 crystal (GGA-PBE, Alexandria).

The structure in POSCAR format:
```
KCuSn3
1.0
6.210 0.000 0.000
0.000 7.089 0.000
0.000 -3.545 6.138
Cu K Sn
2 2 6
Cartesian
0.000 0.000 0.000 Cu
3.105 0.000 0.000 Cu
4.657 3.544 2.046 K
1.553 0.000 4.092 K
4.658 0.000 2.228 Sn
1.552 5.159 1.114 Sn
4.658 -1.614 5.024 Sn
1.552 3.544 3.910 Sn
4.658 1.614 5.024 Sn
1.552 1.930 1.114 Sn
```

Calculated formation energy = -0.01 eV per atom
Crystal system = hexagonal
Magnetic moment = 0.000 μB/f.u.
D(E_F) = 2.85 states/eV/f.u.
Electronic total energy = -3.448 eV/atom

[8]
# La3Pm4Al4

A relaxed La3Pm4Al4 crystal (GGA-PBE, Alexandria).

The structure in POSCAR format:
```
La3Pm4Al4
1.0
-2.002 -4.862 0.007
1.432 -0.600 -6.906
8.238 -0.540 5.382
La Pm Al
3 4 4
Cartesian
6.036 -5.331 -1.913 La
1.632 -0.671 0.397 La
0.716 -0.300 -3.453 La
2.864 -4.029 -4.359 Pm
4.804 -1.974 2.842 Pm
5.465 -2.250 -0.347 Pm
2.203 -3.752 -1.170 Pm
0.156 -2.916 -5.575 Al
3.570 -1.474 -2.760 Al
4.098 -4.528 1.243 Al
-0.726 -2.546 -1.324 Al
```

Calculated formation energy = -0.19 eV per atom
Crystal system = orthorhombic
Magnetic moment = 0.000 μB/f.u.
D(E_F) = 13.41 states/eV/f.u.
Electronic total energy = -4.622 eV/atom

[9]
# MnAl2Au

A relaxed MnAl2Au crystal (GGA-PBE, Alexandria).

The structure in POSCAR format:
```
MnAl2Au
1.0
7.121 0.000 0.000
0.000 7.121 0.000
3.561 3.561 2.719
Mn Au Al
2 2 4
Cartesian
3.561 3.561 0.000 Mn
3.561 7.121 1.359 Mn
0.000 0.000 0.000 Au
7.121 3.561 1.359 Au
8.901 8.958 2.039 Al
5.398 1.780 0.680 Al
1.723 5.341 0.680 Al
5.341 5.284 2.039 Al
```

Calculated formation energy = 0.10 eV per atom
Crystal system = tetragonal
Magnetic moment = 3.139 μB/f.u.
D(E_F) = 2.58 states/eV/f.u.
Electronic total energy = -4.882 eV/atom

[10]
# Sc3BiAsO

A relaxed Sc3BiAsO crystal (GGA-PBE, Alexandria).

The structure in POSCAR format:
```
Sc3BiAsO
1.0
-2.527 2.948 0.008
-3.426 -2.917 -7.087
-4.619 -3.975 5.798
Sc As O Bi
6 2 2 2
Cartesian
-4.779 -0.266 1.890 Sc
-4.002 0.410 -2.131 Sc
-6.570 -4.355 0.850 Sc
-5.793 -3.679 -3.171 Sc
-4.950 -2.975 3.954 Sc
-5.622 -0.969 -5.235 Sc
-6.887 -2.074 2.251 As
-3.685 -1.870 -3.532 As
-6.920 -2.085 -4.024 O
-3.652 -1.859 2.743 O
-8.373 -3.338 -1.326 Bi
-2.199 -0.606 0.045 Bi
```

Crystal system = monoclinic
Magnetic moment = 0.000 μB/f.u.
D(E_F) = 3.09 states/eV/f.u.
Electronic total energy = -7.020 eV/atom

[11]
# K2GaSbTe

A relaxed K2GaSbTe crystal (GGA-PBE, Alexandria).

The structure in POSCAR format:
```
K2GaSbTe
1.0
-4.755 -4.459 1.831
3.394 -3.794 -0.425
1.732 0.821 6.495
Ga K Sb Te
1 2 1 1
Cartesian
1.697 -1.897 -0.213 Ga
0.866 0.410 3.247 K
-2.378 -2.230 0.916 K
0.000 0.000 0.000 Sb
0.185 -3.716 3.950 Te
```

Crystal system = tetragonal
Magnetic moment = 0.723 μB/f.u.
D(E_F) = 5.34 states/eV/f.u.
Electronic total energy = -2.639 eV/atom

[12]
# Sn2Pb8Au

A relaxed Sn2Pb8Au crystal (GGA-PBE, Alexandria).

The structure in POSCAR format:
```
Sn2Pb8Au
1.0
7.874 0.235 0.164
1.285 7.198 0.802
1.285 3.230 6.483
Pb Au Sn
8 1 2
Cartesian
1.968 2.443 3.771 Pb
7.011 4.990 3.485 Pb
8.476 8.220 3.677 Pb
2.682 0.955 0.667 Pb
3.433 5.673 3.963 Pb
8.476 6.282 6.453 Pb
1.968 4.381 0.996 Pb
7.762 9.708 6.781 Pb
0.000 0.000 0.000 Au
5.685 7.571 5.289 Sn
4.759 3.092 2.159 Sn
```

Calculated formation energy = 0.07 eV per atom
Crystal system = monoclinic
Magnetic moment = 0.000 μB/f.u.
D(E_F) = 6.66 states/eV/f.u.
Electronic total energy = -3.651 eV/atom

Q: Which value of electronic total energy does entry 12 give?
A: -3.651 eV/atom